(1)
A relaxed structure of BaTcNi2. Source: the Alexandria database, functional PBE.

Cell: 3.1235 3.1235 7.5047 Å, 90.00 90.00 90.00°
Space group P4mm (No. 99)
Unique sites:
Ba 0.0000 0.0000 0.0000 x1
Tc 0.5000 0.5000 0.6422 x1
Ni 0.0000 0.0000 0.4807 x1
Ni 0.5000 0.5000 0.3197 x1

energy of formation = 597 meV per atom
E = -5.365 eV per atom
N(E_F) = 4.4 states/eV per cell

=====

(2)
A relaxed structure of Ba2TcNi. Source: the Alexandria database, functional PBE.

Cell: 4.1849 4.6246 14.5971 Å, 90.00 90.00 90.00°
Space group Imm2 (No. 44)
Unique sites:
Ba 0.0000 0.0000 0.0000 x2
Ba 0.0000 0.5000 0.2512 x2
Tc 0.0000 0.0000 0.4052 x2
Ni 0.0000 0.5000 0.8412 x2

energy of formation = 484 meV per atom
E = -4.514 eV per atom
N(E_F) = 8.9 states/eV per cell

=====

(3)
A relaxed structure of BaTcNi2. Source: the Alexandria database, functional PBE.

Cell: 6.7066 6.7066 6.7066 Å, 90.00 90.00 90.00°
Space group Fm-3m (No. 225)
Unique sites:
Ba 0.0000 0.0000 0.0000 x4
Tc 0.0000 0.0000 0.5000 x4
Ni 0.2500 0.2500 0.2500 x8

energy of formation = 913 meV per atom
E = -5.050 eV per atom
N(E_F) = 15.2 states/eV per cell

=====

(4)
A relaxed structure of Ba2TcNi. Source: the Alexandria database, functional PBE.

Cell: 7.3734 4.2585 9.1576 Å, 90.00 106.06 90.00°
Space group Cm (No. 8)
Unique sites:
Ba 0.0000 0.0000 0.0000 x2
Ba 0.1755 0.0000 0.5096 x2
Tc 0.2543 0.5000 0.2547 x2
Ni 0.4210 0.0000 0.2546 x2

energy of formation = 303 meV per atom
E = -4.695 eV per atom
N(E_F) = 5.9 states/eV per cell